Entry from Alexandria via LeMat-Bulk: crystalline Cu2OsBr at its relaxed geometry (PBE).

a = 4.879 Å, b = 4.879 Å, c = 4.706 Å
α = 76.11°, β = 76.11°, γ = 34.50°
Element x y z (fractional)
Br: 0.250 0.250 0.250
Cu: 0.009 0.009 0.962
Cu: 0.491 0.491 0.538
Os: 0.750 0.750 0.750

## Properties
Formation energy (no corrections) in meV/atom: 929

---

Entry from Alexandria via LeMat-Bulk: crystalline Cu2OsBr at its relaxed geometry (PBE).

a = 3.142 Å, b = 2.604 Å, c = 8.216 Å
α = 90.00°, β = 90.00°, γ = 90.00°
Element x y z (fractional)
Br: 0.500 0.750 0.750
Cu: 0.000 0.750 0.049
Cu: 0.000 0.750 0.451
Os: 0.500 0.250 0.250

## Properties
Formation energy (no corrections) in meV/atom: 598

---

Entry from Alexandria via LeMat-Bulk: crystalline Cu2OsBr at its relaxed geometry (PBE).

a = 8.505 Å, b = 8.505 Å, c = 8.505 Å
α = 19.65°, β = 19.65°, γ = 19.65°
Element x y z (fractional)
Br: 0.753 0.753 0.753
Cu: 0.992 0.992 0.992
Cu: 0.251 0.251 0.251
Os: 0.504 0.504 0.504

## Properties
Formation energy (no corrections) in meV/atom: 741

---

Entry from Alexandria via LeMat-Bulk: crystalline Cu2OsBr at its relaxed geometry (PBE).

a = 4.864 Å, b = 4.864 Å, c = 4.864 Å
α = 133.64°, β = 133.64°, γ = 67.66°
Element x y z (fractional)
Br: 0.750 0.250 0.500
Cu: 0.000 0.000 0.000
Cu: 0.250 0.750 0.500
Os: 0.500 0.500 0.000

## Properties
Formation energy (no corrections) in meV/atom: 1065

---

Entry from Alexandria via LeMat-Bulk: crystalline CuOs3Br at its relaxed geometry (PBE).

a = 4.573 Å, b = 4.573 Å, c = 4.573 Å
α = 90.00°, β = 90.00°, γ = 90.00°
Last column: magnetic moment on the atom in μB.
Element x y z (fractional)
Os: 0.000 0.500 0.000  1.27
Os: 0.000 0.000 0.500  1.15
Os: 0.500 0.000 0.000  1.05
Cu: 0.000 0.000 0.000  0.11
Br: 0.500 0.500 0.500  0.22

## Properties
Formation energy (no corrections) in meV/atom: 2576

---

Entry from Alexandria via LeMat-Bulk: crystalline Cu2OsBr at its relaxed geometry (PBE).

a = 2.742 Å, b = 2.742 Å, c = 9.588 Å
α = 90.00°, β = 90.00°, γ = 90.00°
Element x y z (fractional)
Br: 0.500 0.500 0.750
Cu: 0.000 0.000 0.068
Cu: 0.000 0.000 0.432
Os: 0.500 0.500 0.250

## Properties
Formation energy (no corrections) in meV/atom: 666

---

Entry from Alexandria via LeMat-Bulk: crystalline Cu2OsBr at its relaxed geometry (PBE).

a = 2.922 Å, b = 4.578 Å, c = 4.578 Å
α = 90.00°, β = 90.00°, γ = 90.00°
Last column: magnetic moment on the atom in μB.
Element x y z (fractional)
Br: 0.500 0.000 0.500  0.02
Cu: 0.000 0.000 0.000  0.04
Cu: 0.000 0.500 0.500  0.04
Os: 0.500 0.500 0.000  0.94

## Properties
Formation energy (no corrections) in meV/atom: 1021

---

Entry from Alexandria via LeMat-Bulk: crystalline Cu2OsBr at its relaxed geometry (PBE).

a = 4.399 Å, b = 4.399 Å, c = 6.350 Å
α = 79.15°, β = 79.15°, γ = 38.63°
Last column: magnetic moment on the atom in μB.
Element x y z (fractional)
Br: 0.136 0.136 0.261  0.01
Cu: 0.040 0.040 0.917  0.04
Cu: 0.789 0.789 0.734  0.12
Os: 0.534 0.534 0.589  0.46

## Properties
Formation energy (no corrections) in meV/atom: 674